Below is crystalline PmMnZn4 at its relaxed geometry, with properties calculated at the PBE-GGA level.

Computed properties:
- Energy of formation: -0.102 eV per atom
- DOS at the Fermi energy: 0.7599 states/eV per atom
- Uncorrected energy: -19.63 eV per cell
- Symmetry: F-43m (216)
- Crystal system: cubic

abc: 5.271 5.271 5.271
angles: 60.00 60.00 60.00
Sites, in units of the cell vectors:
Zn1 0.624 0.129 0.624
Zn2 0.624 0.624 0.129
Zn3 0.624 0.624 0.624
Zn4 0.129 0.624 0.624
Mn1 0.250 0.250 0.250
Pm1 0.000 0.000 0.000

Below is crystalline Pm2MnZn at its relaxed geometry, with properties calculated at the PBE-GGA level.

Computed properties:
- ΔE to the lowest computed polymorph: 0 meV per atom
- Energy of formation: -0.022 eV per atom
- DOS at the Fermi energy: 1.1063 states/eV per atom
- Uncorrected energy: -20.03 eV per cell
- Symmetry: P4/mmm (123)
- Crystal system: tetragonal

abc: 3.664 3.664 7.263
angles: 90.00 90.00 90.00
Sites, in units of the cell vectors:
Pm1 0.000 0.000 0.252
Pm2 0.000 0.000 0.748
Mn1 0.500 0.500 0.500
Zn1 0.500 0.500 0.000

Below is crystalline PmMnZn at its relaxed geometry, with properties calculated at the PBE-GGA level.

Computed properties:
- Energy of formation: 0.065 eV per atom
- DOS at the Fermi energy: 0.8353 states/eV per atom
- Uncorrected energy: -30.00 eV per cell
- Symmetry: Imma (74)
- Crystal system: orthorhombic

abc: 5.330 5.330 5.330
angles: 86.99 66.72 123.52
Sites, in units of the cell vectors:
Mn1 0.500 0.000 0.000
Mn2 0.000 0.500 0.000
Pm1 0.750 0.891 0.359
Pm2 0.250 0.109 0.641
Zn1 0.500 0.500 0.000
Zn2 0.000 0.500 0.500

Below is crystalline PmZr2Mn at its relaxed geometry, with properties calculated at the PBE-GGA level.

Computed properties:
- Energy of formation: 0.093 eV per atom
- DOS at the Fermi energy: 1.3869 states/eV per atom
- Uncorrected energy: -30.64 eV per cell
- Symmetry: P4/mmm (123)
- Crystal system: tetragonal

abc: 3.254 3.254 8.373
angles: 90.00 90.00 90.00
Sites, in units of the cell vectors:
Zr1 0.000 0.000 0.181
Zr2 0.000 0.000 0.819
Mn1 0.500 0.500 0.000
Pm1 0.500 0.500 0.500

Below is crystalline PmZrMn4 at its relaxed geometry, with properties calculated at the PBE-GGA level.

Computed properties:
- Energy of formation: 0.125 eV per atom
- DOS at the Fermi energy: 1.6513 states/eV per atom
- Uncorrected energy: -49.23 eV per cell
- Symmetry: F-43m (216)
- Crystal system: cubic

abc: 5.105 5.105 5.105
angles: 60.00 60.00 60.00
Sites, in units of the cell vectors:
Mn1 0.625 0.126 0.625
Mn2 0.625 0.625 0.126
Mn3 0.625 0.625 0.625
Mn4 0.126 0.625 0.625
Zr1 0.250 0.250 0.250
Pm1 0.000 0.000 0.000

Below is crystalline PrMn4 at its relaxed geometry, with properties calculated at the PBE-GGA level.

Computed properties:
- Energy of formation: 1.838 eV per atom
- DOS at the Fermi energy: 0.8601 states/eV per atom
- Uncorrected energy: -32.27 eV per cell
- Symmetry: Pm-3m (221)
- Crystal system: cubic

abc: 4.997 4.997 4.997
angles: 90.00 90.00 90.00
Sites, in units of the cell vectors:
Mn1 0.500 0.000 0.500
Mn2 0.000 0.500 0.500
Mn3 0.000 0.000 0.000
Mn4 0.500 0.500 0.000
Pr1 0.500 0.500 0.500

Below is crystalline Pr2Mn2Pt15 at its relaxed geometry, with properties calculated at the PBE-GGA level.

Computed properties:
- Energy of formation: -0.480 eV per atom
- DOS at the Fermi energy: 0.8009 states/eV per atom
- Uncorrected energy: -127.63 eV per cell
- Symmetry: R-3m (166)
- Crystal system: trigonal

abc: 7.010 7.010 7.010
angles: 82.86 82.86 82.86
Sites, in units of the cell vectors:
Mn1 0.098 0.098 0.098
Mn2 0.902 0.902 0.902
Pr1 0.344 0.344 0.344
Pr2 0.656 0.656 0.656
Pt1 0.000 0.308 0.692
Pt2 0.000 0.692 0.308
Pt3 0.692 0.308 0.000
Pt4 0.308 0.000 0.692
Pt5 0.000 0.500 0.000
Pt6 0.657 0.156 0.657
Pt7 0.308 0.692 0.000
Pt8 0.692 0.000 0.308
Pt9 0.000 0.000 0.500
Pt10 0.657 0.657 0.156
Pt11 0.500 0.000 0.000
Pt12 0.156 0.657 0.657
Pt13 0.343 0.844 0.343
Pt14 0.844 0.343 0.343
Pt15 0.343 0.343 0.844

Below is crystalline Pr2MnSb3Pt4 at its relaxed geometry, with properties calculated at the PBE-GGA level.

Computed properties:
- DOS at the Fermi energy: 0.4868 states/eV per atom
- Uncorrected energy: -63.17 eV per cell
- Symmetry: P-4m2 (115)
- Crystal system: tetragonal

abc: 4.512 4.512 10.828
angles: 90.00 90.00 90.00
Sites, in units of the cell vectors:
Pt1 0.000 0.000 0.000
Pt2 0.500 0.000 0.627
Pt3 0.000 0.500 0.373
Pt4 0.500 0.500 0.000
Pr1 0.500 0.000 0.242
Pr2 0.000 0.500 0.758
Sb1 0.000 0.000 0.500
Sb2 0.000 0.500 0.135
Sb3 0.500 0.000 0.865
Mn1 0.500 0.500 0.500